## CsAl2CrF8 (PBE+U)

Data for an optimized crystal structure of CsAl2CrF8.

```
12
Lattice="2.786 1.609 8.359 -2.786 1.609 8.359 0.000 -3.217 8.359" Properties=species:S:1:pos:R:3 pbc="T T T"
Cs 0.000 0.000 0.000
Al 0.000 0.000 6.082
Al 0.000 0.000 18.996
Cr 0.000 0.000 12.539
F -1.159 -1.608 11.129
F -1.972 0.200 13.949
F 0.000 0.000 7.790
F -0.813 1.808 11.129
F 0.813 -1.808 13.949
F 0.000 0.000 17.288
F 1.972 -0.200 11.129
F 1.159 1.608 13.949
```

The value obtained for the density of states at the Fermi level is 5.70 states/eV per cell. As for the uncorrected energy: -66.85 eV per cell.